[1]
First-principles (GGA-PBEsol) data for a geometry-optimized Zn2Mo structure, as listed in Alexandria via LeMat-Bulk.

Calculated values
Its energy relative to the elements is -0.0047 eV per atom. The value obtained for the total magnetization is 0.00 μB/f.u.

The structure in CIF format:
```
data_Zn2Mo
_chemical_formula_sum 'Zn8 Mo4'
_space_group_name_H-M_alt 'P 63/m m c'
_space_group_IT_number 194
_space_group_name_Hall '-P 6c 2c'
_cell_length_a 4.8632
_cell_length_b 4.8632
_cell_length_c 7.8937
_cell_angle_alpha 90.00
_cell_angle_beta 90.00
_cell_angle_gamma 120.00
loop_
_atom_site_label
_atom_site_type_symbol
_atom_site_fract_x
_atom_site_fract_y
_atom_site_fract_z
Zn1 Zn 0.0000 0.0000 0.0000
Zn2 Zn 0.1714 0.3428 0.2500
Mo1 Mo 0.3333 0.6667 0.5661
```

***

[2]
First-principles (GGA-PBEsol) data for a geometry-optimized ZnCuRh2 structure, as listed in Alexandria via LeMat-Bulk.

Calculated values
Its energy relative to the elements is -0.0875 eV per atom. The value obtained for the total magnetization is 0.01 μB/f.u.

The structure in CIF format:
```
data_ZnCuRh2
_chemical_formula_sum 'Zn1 Cu1 Rh2'
_space_group_name_H-M_alt 'P 4 m m'
_space_group_IT_number 99
_space_group_name_Hall 'P 4 -2'
_cell_length_a 2.7182
_cell_length_b 2.7182
_cell_length_c 6.9875
_cell_angle_alpha 90.00
_cell_angle_beta 90.00
_cell_angle_gamma 90.00
loop_
_atom_site_label
_atom_site_type_symbol
_atom_site_fract_x
_atom_site_fract_y
_atom_site_fract_z
Zn1 Zn 0.0000 0.0000 0.0000
Cu1 Cu 0.5000 0.5000 0.2365
Rh1 Rh 0.0000 0.0000 0.4877
Rh2 Rh 0.5000 0.5000 0.7454
```

***

[3]
First-principles (GGA-PBEsol) data for a geometry-optimized ReAs2Pb structure, as listed in Alexandria via LeMat-Bulk.

Calculated values
Its energy relative to the elements is 0.3001 eV per atom. The value obtained for the total magnetization is 0.00 μB/f.u.

The structure in CIF format:
```
data_ReAs2Pb
_chemical_formula_sum 'Re2 As4 Pb2'
_space_group_name_H-M_alt 'C 1 2/m 1'
_space_group_IT_number 12
_space_group_name_Hall '-C 2y'
_cell_length_a 7.8334
_cell_length_b 3.1398
_cell_length_c 6.6927
_cell_angle_alpha 90.00
_cell_angle_beta 98.25
_cell_angle_gamma 90.00
loop_
_atom_site_label
_atom_site_type_symbol
_atom_site_fract_x
_atom_site_fract_y
_atom_site_fract_z
Re1 Re 0.0000 0.0000 0.0000
As1 As 0.2252 0.5000 0.1753
Pb1 Pb 0.0000 0.5000 0.5000
```

***

[4]
First-principles (GGA-PBEsol) data for a geometry-optimized Tl3InTc structure, as listed in Alexandria via LeMat-Bulk.

Calculated values
Its energy relative to the elements is 0.4900 eV per atom. The value obtained for the total magnetization is 0.00 μB/f.u.

The structure in CIF format:
```
data_Tl3InTc
_chemical_formula_sum 'Tl3 In1 Tc1'
_space_group_name_H-M_alt 'P m -3 m'
_space_group_IT_number 221
_space_group_name_Hall '-P 4 2 3'
_cell_length_a 5.2504
_cell_length_b 5.2504
_cell_length_c 5.2504
_cell_angle_alpha 90.00
_cell_angle_beta 90.00
_cell_angle_gamma 90.00
loop_
_atom_site_label
_atom_site_type_symbol
_atom_site_fract_x
_atom_site_fract_y
_atom_site_fract_z
Tl1 Tl 0.0000 0.0000 0.5000
In1 In 0.5000 0.5000 0.5000
Tc1 Tc 0.0000 0.0000 0.0000
```

***

[5]
First-principles (GGA-PBEsol) data for a geometry-optimized InIrI3 structure, as listed in Alexandria via LeMat-Bulk.

Calculated values
As for the formation energy from raw total energies: 0.130 eV per atom. The value obtained for the total magnetization is 0.00 μB/f.u.

The structure in CIF format:
```
data_InIrI3
_chemical_formula_sum 'In1 Ir1 I3'
_space_group_name_H-M_alt 'P m -3 m'
_space_group_IT_number 221
_space_group_name_Hall '-P 4 2 3'
_cell_length_a 5.3736
_cell_length_b 5.3736
_cell_length_c 5.3736
_cell_angle_alpha 90.00
_cell_angle_beta 90.00
_cell_angle_gamma 90.00
loop_
_atom_site_label
_atom_site_type_symbol
_atom_site_fract_x
_atom_site_fract_y
_atom_site_fract_z
In1 In 0.0000 0.0000 0.0000
Ir1 Ir 0.5000 0.5000 0.5000
I1 I 0.0000 0.5000 0.5000
```

***

[6]
First-principles (GGA-PBEsol) data for a geometry-optimized Li2AlAg structure, as listed in Alexandria via LeMat-Bulk.

Calculated values
Its energy relative to the elements is -0.1686 eV per atom. The value obtained for the total magnetization is 0.00 μB/f.u.

The structure in CIF format:
```
data_Li2AlAg
_chemical_formula_sum 'Li4 Al2 Ag2'
_space_group_name_H-M_alt 'I 4/m m m'
_space_group_IT_number 139
_space_group_name_Hall '-I 4 2'
_cell_length_a 3.8451
_cell_length_b 3.8451
_cell_length_c 8.3368
_cell_angle_alpha 90.00
_cell_angle_beta 90.00
_cell_angle_gamma 90.00
loop_
_atom_site_label
_atom_site_type_symbol
_atom_site_fract_x
_atom_site_fract_y
_atom_site_fract_z
Li1 Li 0.0000 0.5000 0.2500
Al1 Al 0.0000 0.0000 0.0000
Ag1 Ag 0.0000 0.0000 0.5000
```

***

[7]
First-principles (GGA-PBEsol) data for a geometry-optimized K2BiPWO8 structure, as listed in Alexandria via LeMat-Bulk.

Calculated values
As for the formation energy from raw total energies: -2.094 eV per atom. The value obtained for the total magnetization is 0.00 μB/f.u.

The structure in CIF format:
```
data_K2BiPWO8
_chemical_formula_sum 'K16 Bi8 P8 W8 O64'
_space_group_name_H-M_alt 'I b c a'
_space_group_IT_number 73
_space_group_name_Hall '-I 2b 2c'
_cell_length_a 7.0684
_cell_length_b 12.4221
_cell_length_c 19.7244
_cell_angle_alpha 90.00
_cell_angle_beta 90.00
_cell_angle_gamma 90.00
loop_
_atom_site_label
_atom_site_type_symbol
_atom_site_fract_x
_atom_site_fract_y
_atom_site_fract_z
K1 K 0.0294 0.0782 0.1554
Bi1 Bi 0.2500 0.1721 0.5000
P1 P 0.2500 0.0718 0.0000
W1 W 0.0000 0.2500 0.3319
O1 O 0.0563 0.1362 0.7810
O2 O 0.0807 0.1508 0.0105
O3 O 0.2062 0.2195 0.3829
O4 O 0.2253 0.0016 0.5625
```

***

[8]
First-principles (GGA-PBEsol) data for a geometry-optimized Y6Al2SiS14 structure, as listed in Alexandria via LeMat-Bulk.

Calculated values
As for the formation energy from raw total energies: -1.748 eV per atom. The value obtained for the total magnetization is 0.00 μB/f.u.

The structure in CIF format:
```
data_Y6Al2SiS14
_chemical_formula_sum 'Y6 Al2 Si1 S14'
_space_group_name_H-M_alt 'P 3'
_space_group_IT_number 143
_space_group_name_Hall 'P 3'
_cell_length_a 9.7116
_cell_length_b 9.7116
_cell_length_c 5.9697
_cell_angle_alpha 90.00
_cell_angle_beta 90.00
_cell_angle_gamma 120.00
loop_
_atom_site_label
_atom_site_type_symbol
_atom_site_fract_x
_atom_site_fract_y
_atom_site_fract_z
Y1 Y 0.0345 0.5571 0.0000
Y2 Y 0.2978 0.1152 0.5127
Al1 Al 0.0000 0.0000 0.9265
Al2 Al 0.6667 0.3333 0.8237
Si1 Si 0.3333 0.6667 0.4229
S1 S 0.0000 0.0000 0.3004
S2 S 0.0971 0.8542 0.7715
S3 S 0.1913 0.4359 0.2784
S4 S 0.3333 0.6667 0.7813
S5 S 0.4229 0.1876 0.0559
S6 S 0.5315 0.4334 0.5909
```